# 1
This record from Alexandria describes a relaxed structure of HfNi4. The functional is PBE.

The calculation puts the calculated formation energy at -0.295 eV per atom.

Cell and atoms, written as extended XYZ:
```
20
Lattice="-2.753 -1.083 2.607 -6.210 -9.311 1.500 9.819 -1.522 0.790" Properties=species:S:1:pos:R:3 pbc="T T T"
Hf 2.771 -3.319 3.038
Hf 2.251 -7.945 3.547
Hf -1.395 -3.970 1.350
Hf -1.914 -8.596 1.859
Ni -2.097 -9.823 4.138
Ni -4.953 -7.049 2.276
Ni 5.809 -4.866 2.621
Ni 2.953 -2.092 0.758
Ni 0.364 -1.939 1.067
Ni 7.474 -3.087 2.136
Ni -6.617 -8.828 2.760
Ni 0.493 -9.976 3.829
Ni 3.673 -5.766 2.972
Ni -2.817 -6.150 1.924
Ni -0.496 -7.626 3.760
Ni 1.352 -4.289 1.137
Ni 5.183 -2.589 2.906
Ni 1.141 -5.556 3.369
Ni -4.326 -9.326 1.991
Ni -0.284 -6.360 1.528
```



# 2
This record from Alexandria describes a relaxed structure of Li2TaSi. The functional is PBE.

The formation energy from raw total energies comes out at 0.152 eV per atom.

Cell and atoms, written as extended XYZ:
```
4
Lattice="-1.227 2.269 0.680 -1.820 -1.946 -0.117 1.477 -1.930 9.103" Properties=species:S:1:pos:R:3 pbc="T T T"
Li 0.035 -0.046 0.219
Li 0.703 -0.919 4.333
Si -1.154 -0.321 2.557
Ta -0.416 -1.286 7.109
```



# 3
This record from Alexandria describes a relaxed structure of Pa4Te5H2. The functional is PBE.

Cell and atoms, written as extended XYZ:
```
11
Lattice="-1.498 3.465 -1.398 -6.961 -4.155 -2.839 -1.533 0.642 9.030" Properties=species:S:1:pos:R:3 pbc="T T T"
Pa -5.418 0.025 0.072
Pa -8.050 1.106 5.572
Pa -4.575 -0.073 4.721
Pa -1.943 -1.154 -0.778
Te -6.692 -2.710 0.455
Te -3.301 2.662 4.338
Te -3.045 -0.504 2.014
Te -0.749 1.733 -0.699
Te -6.948 0.456 2.780
H -5.538 -0.842 -1.948
H -4.455 0.794 6.742
```



Number 1: E_tot -6.91 eV per atom. Number 2: E_tot -5.12 eV per atom. Number 3: E_tot -6.04 eV per atom.